This record from Alexandria via LeMat-Bulk describes VFe3 after structural relaxation. The functional is PBE-GGA.

Results
volume	11.70	A^3/atom
energy relative to the elements	-0.054	eV/atom
space-group type	Cmmm, No. 65
M_tot	5.6	μB/cell

Cell lengths 2.474, 2.474, 8.041 Å; angles 90.00, 90.00, 107.97 degrees
Fractional positions:
1 Fe 0.500 0.500 0.747
2 Fe 0.500 0.500 0.253
3 Fe 0.000 0.000 0.500
4 V 0.000 0.000 0.000

This record from Alexandria via LeMat-Bulk describes V5Fe after structural relaxation. The functional is PBE-GGA.

Results
volume	12.72	A^3/atom
energy relative to the elements	-0.105	eV/atom
space-group type	Cmmm, No. 65
energy above the most stable polymorph in this dataset	0.010	eV per atom
M_tot	0.0	μB/cell

Cell lengths 2.924, 4.212, 6.545 Å; angles 108.77, 90.00, 90.00 degrees
Fractional positions:
1 V 0.000 0.665 0.331
2 V 0.000 0.335 0.669
3 V 0.500 0.500 0.000
4 V 0.500 0.163 0.325
5 V 0.500 0.837 0.675
6 Fe 0.000 0.000 0.000